Computed, not measured: crystalline ScCoO3 at its relaxed geometry at the PBE with a Hubbard U level of DFT.

Values from the calculation:
For the electronic total energy, the calculation gives -7.452 eV per atom. For the total moment, the calculation gives 0.00 μB per atom. Its space-group type is No. 62.

Cell: 5.290 7.132 4.897 Å, 90.00 90.00 90.00°
Fractional coordinates of all 20 atoms:
Co (0.000, 0.000, 0.000)
Co (0.000, 0.500, 0.000)
Co (0.500, 0.000, 0.500)
Co (0.500, 0.500, 0.500)
O (0.049, 0.750, 0.131)
O (0.309, 0.064, 0.182)
O (0.309, 0.436, 0.182)
O (0.809, 0.064, 0.318)
O (0.809, 0.436, 0.318)
O (0.549, 0.750, 0.369)
O (0.451, 0.250, 0.631)
O (0.191, 0.564, 0.682)
O (0.191, 0.936, 0.682)
O (0.691, 0.564, 0.818)
O (0.691, 0.936, 0.818)
O (0.951, 0.250, 0.869)
Sc (0.583, 0.250, 0.029)
Sc (0.083, 0.250, 0.471)
Sc (0.917, 0.750, 0.529)
Sc (0.417, 0.750, 0.971)